Here is crystalline ZrP2Os at its relaxed geometry from the Alexandria database. Energies are from PBEsol.

Results
DOS(E_F)	1.7	states/eV/cell
crystal system	monoclinic
E_tot	-35.25	eV per formula unit

Lattice parameters (Å, degrees): 3.115 4.588 4.595 104.17 90.00 109.85
Positions (direct):
Os: 0.737 0.473 0.157
P: 0.008 0.016 0.044
P: 0.252 0.503 0.746
Zr: 0.504 0.008 0.552